(1)
Computed, not measured: a relaxed structure of Sr2CrOs at the PBE-GGA level of DFT.

a b c (Å): 10.386 10.386 10.386
angles (deg): 19.65 19.65 19.65
Last column: magnetic moment on the atom in μB.
Fractional positions:
Sr 0.012 0.012 0.012  -0.01
Sr 0.488 0.488 0.488  -0.01
Os 0.750 0.750 0.750  0.23
Cr 0.250 0.250 0.250  4.00

energy above the most stable polymorph in this dataset = 898 meV per atom
VASP energy = -19.50 eV per cell
DOS at the Fermi energy = 1.00 states/eV/atom
energy relative to the elements = 1178 meV per atom

=====

(2)
Computed, not measured: a relaxed structure of FeAs3 at the PBE-GGA level of DFT.

a b c (Å): 10.125 10.125 10.125
angles (deg): 158.35 158.35 30.80
Last column: magnetic moment on the atom in μB.
Fractional positions:
As 0.000 0.500 0.500  0.01
As 0.750 0.250 0.500  -0.02
As 0.500 0.000 0.500  0.01
As 0.887 0.887 0.000  -0.01
As 0.250 0.750 0.500  -0.02
As 0.113 0.113 0.000  -0.01
Fe 0.323 0.323 0.000  0.36
Fe 0.677 0.677 0.000  0.36

energy above the most stable polymorph in this dataset = 364 meV per atom
VASP energy = -41.53 eV per cell
DOS at the Fermi energy = 0.71 states/eV/atom
energy relative to the elements = 411 meV per atom